# 1
A plane-wave DFT calculation with GGA-PBE was carried out for a relaxed structure of RbCd2ReGe.

Results
ΔH_f (0 K) in eV per atom: 1.4180

a b c (Å): 5.359 6.174 5.359
angles (deg): 90.00 90.00 90.00
Fractional coordinates of all 5 atoms:
Re: 0.000 0.000 0.000
Cd: 0.500 0.000 0.000
Cd: 0.000 0.000 0.500
Ge: 0.500 0.500 0.500
Rb: 0.000 0.500 0.000

***

# 2
A plane-wave DFT calculation with GGA-PBE was carried out for a relaxed structure of Sr2YCu2AgO7.

Results
E_form (uncorrected) in eV/atom: -1.728

a b c (Å): 5.379 5.385 12.647
angles (deg): 102.29 102.28 90.00
Fractional coordinates of all 26 atoms:
Y: 0.500 0.017 0.000
Y: 0.000 0.517 0.000
Sr: 0.152 0.672 0.303
Sr: 0.651 0.172 0.303
Sr: 0.848 0.369 0.697
Sr: 0.349 0.869 0.697
O: 0.810 0.327 0.120
O: 0.160 0.182 0.326
O: 0.334 0.356 0.674
O: 0.690 0.707 0.879
O: 0.810 0.827 0.120
O: 0.689 0.207 0.879
O: 0.310 0.828 0.121
O: 0.190 0.708 0.880
O: 0.225 0.829 0.500
O: 0.190 0.208 0.880
O: 0.311 0.328 0.121
O: 0.775 0.329 0.500
O: 0.840 0.856 0.674
O: 0.666 0.682 0.326
Cu: 0.927 0.944 0.853
Cu: 0.574 0.592 0.147
Cu: 0.426 0.444 0.853
Cu: 0.073 0.092 0.147
Ag: 0.234 0.257 0.500
Ag: 0.766 0.757 0.500

***

# 3
A plane-wave DFT calculation with GGA-PBE was carried out for a relaxed structure of MgInRe.

Results
ΔH_f (0 K) in eV per atom: 0.4614

a b c (Å): 7.056 7.056 7.056
angles (deg): 156.48 156.48 33.51
Fractional coordinates of all 3 atoms:
In: 0.009 0.009 0.000
Re: 0.671 0.671 0.000
Mg: 0.320 0.320 0.000

***

# 4
A plane-wave DFT calculation with GGA-PBE was carried out for a relaxed structure of Tm6TlCd6.

Results
ΔH_f (0 K) in eV per atom: -0.1295

a b c (Å): 6.058 6.058 10.835
angles (deg): 90.00 90.00 120.00
Fractional coordinates of all 13 atoms:
Cd: 0.000 0.500 0.753
Cd: 0.500 0.000 0.753
Cd: 0.500 0.500 0.753
Cd: 0.500 0.500 0.247
Cd: 0.000 0.500 0.247
Cd: 0.500 0.000 0.247
Tm: 0.333 0.667 0.500
Tm: 0.667 0.333 0.000
Tm: 0.000 0.000 0.344
Tm: 0.667 0.333 0.500
Tm: 0.000 0.000 0.656
Tm: 0.333 0.667 0.000
Tl: 0.000 0.000 0.000

***

no.,energy (eV per cell),size of the total moment (Bohr magnetons per cell)
1,-12.8,1.86
2,-156.1,0.00
3,-15.4,0.00
4,-36.4,0.77